Crystalline CePaB at its relaxed geometry. Source: Alexandria, functional PBE.

```
CePaB
1.0
-1.2885 0.5034 -2.8623
2.2504 -2.8786 -1.5193
-5.2598 -7.3950 1.0670
B Ce Pa
2 2 2
Direct
0.7500 0.4769 0.0463
0.2500 0.5231 0.9537
0.2500 0.6913 0.6174
0.7500 0.3087 0.3826
0.7500 0.0781 0.8439
0.2500 0.9219 0.1561
```

Relative energy among the computed polymorphs, meV per atom: 0
Calculated volume, Å³ per cell: 112
Space group: Cmcm, No. 63
VASP energy, eV per formula unit: -22.65
Formation enthalpy at 0 K, meV per atom: -181.7